Hf2InPb after structural relaxation, computed with GGA-PBE.

Cell lengths 3.2053, 3.2053, 8.8406 Å; angles 90.00, 90.00, 90.00 degrees
Sites, in units of the cell vectors:
Hf (0.0000, 0.0000, 0.2408)
Pb (0.5000, 0.5000, 0.5000)
In (0.5000, 0.5000, 0.0000)
Hf (0.0000, 0.0000, 0.7592)

Summary:
**Raw total energy**: -26.4 eV/cell
**Total magnetization**: 0.00 μB/f.u.
**Space-group type**: P4/mmm (123)
**ρ**: 12.41 Mg/m³
**Formation energy**: -0.02 eV/atom
**ΔE to the lowest computed polymorph**: 0.0 meV per atom